1.
This record from Alexandria via LeMat-Bulk describes AlWCl2 after structural relaxation. The functional is PBE.

Cell lengths 3.182, 3.182, 9.491 Å; angles 90.00, 90.00, 125.38 degrees
Atoms (fractional coordinates):
Al 0.000 0.000 0.000
W 0.000 0.000 0.500
Cl 0.500 0.500 0.290
Cl 0.500 0.500 0.710


2.
This record from Alexandria via LeMat-Bulk describes AlWCl2 after structural relaxation. The functional is PBE.

Cell lengths 3.219, 3.219, 9.720 Å; angles 90.00, 90.00, 124.32 degrees
Atoms (fractional coordinates):
Al 0.000 0.000 0.000
W 0.500 0.500 0.778
Cl 0.000 0.000 0.582
Cl 0.500 0.500 0.186


3.
This record from Alexandria via LeMat-Bulk describes Al4WCl after structural relaxation. The functional is PBE.

Cell lengths 5.216, 5.216, 5.216 Å; angles 60.00, 60.00, 60.00 degrees
Atoms (fractional coordinates):
Al 0.125 0.125 0.125
Al 0.125 0.125 0.624
Al 0.125 0.624 0.125
Al 0.624 0.125 0.125
W 0.500 0.500 0.500
Cl 0.750 0.750 0.750


4.
This record from Alexandria via LeMat-Bulk describes AlWCl after structural relaxation. The functional is PBE.

Cell lengths 4.405, 4.405, 4.405 Å; angles 60.00, 60.00, 60.00 degrees
Atoms (fractional coordinates):
Al 0.000 0.000 0.000
W 0.250 0.250 0.250
Cl 0.500 0.500 0.500


5.
This record from Alexandria via LeMat-Bulk describes AlWCl2 after structural relaxation. The functional is PBE.

Cell lengths 5.084, 5.084, 2.934 Å; angles 90.00, 90.00, 111.29 degrees
Atoms (fractional coordinates):
Al 0.000 0.000 0.000
W 0.500 0.500 0.000
Cl 0.000 0.500 0.500
Cl 0.500 0.000 0.500


6.
This record from Alexandria via LeMat-Bulk describes AlW4Cl after structural relaxation. The functional is PBE.

Cell lengths 5.346, 5.346, 5.346 Å; angles 60.00, 60.00, 60.00 degrees
Atoms (fractional coordinates):
Al 0.000 0.000 0.000
W 0.377 0.377 0.377
W 0.377 0.377 0.869
W 0.377 0.869 0.377
W 0.869 0.377 0.377
Cl 0.750 0.750 0.750


7.
This record from Alexandria via LeMat-Bulk describes AlWCl2 after structural relaxation. The functional is PBE.

Cell lengths 8.935, 8.935, 8.935 Å; angles 153.37, 153.37, 38.02 degrees
Atoms (fractional coordinates):
Al 0.000 0.000 0.000
Al 0.750 0.250 0.500
W 0.250 0.750 0.500
W 0.500 0.500 0.000
Cl 0.140 0.625 0.015
Cl 0.375 0.390 0.515
Cl 0.610 0.125 0.985
Cl 0.875 0.860 0.485


8.
This record from Alexandria via LeMat-Bulk describes AlWCl2 after structural relaxation. The functional is PBE.

Cell lengths 2.955, 4.355, 5.392 Å; angles 90.00, 96.34, 90.00 degrees
Atoms (fractional coordinates):
Al 0.000 0.000 0.000
W 0.500 0.000 0.500
Cl 0.356 0.500 0.255
Cl 0.644 0.500 0.745


Calculated total energy (eV/atom), listed in the same order as above: -4.875, -5.275, -4.565, -4.896, -4.243, -8.538, -4.601, -4.803
Calculated energy relative to the elements, uncorrected (kJ per mole of atoms), listed in the same order as above: 21.4, -17.1, 38.3, 124.0, 82.5, 99.2, 47.8, 28.4
Calculated D(E_F) (states/eV/cell), listed in the same order as above: 1.95, 1.57, 2.70, 5.02, 3.43, 5.70, 8.23, 2.08